*P*
DFT (PBE-GGA) results for an optimized crystal structure of RbHg2Cl5.

Unit cell a=4.503 b=16.504 c=14.808 alpha=90.00 beta=90.00 gamma=90.00
Space group Cmcm (No. 63)
Asymmetric unit:
Rb: 0.000 0.207 0.250 (multiplicity 4)
Hg: 0.000 0.097 0.577 (multiplicity 8)
Cl: 0.000 0.055 0.106 (multiplicity 8)
Cl: 0.000 0.153 0.750 (multiplicity 4)
Cl: 0.000 0.325 0.052 (multiplicity 8)

Computed properties:
**ρ**: 4.0 g cm⁻³
**DOS(E_F)**: 0.000 states/eV/atom

---

*Q*
DFT (PBE-GGA) results for an optimized crystal structure of RbHg2Cl5.

Unit cell a=4.755 b=7.174 c=13.083 alpha=90.00 beta=90.00 gamma=90.00
Space group Immm (No. 71)
Asymmetric unit:
Rb: 0.000 0.000 0.000 (multiplicity 2)
Hg: 0.000 0.500 0.200 (multiplicity 4)
Cl: 0.000 0.257 0.347 (multiplicity 8)
Cl: 0.000 0.500 0.000 (multiplicity 2)

Computed properties:
**ρ**: 4.9 g cm⁻³

---

It turns out *P* is the most stable, with the second structure 6.3 kJ/mol of atoms higher.

---

*P*
DFT (PBE-GGA) results for an optimized crystal structure of Rb2ZrHgCl6.

Unit cell a=11.587 b=11.587 c=11.587 alpha=90.00 beta=90.00 gamma=90.00
Space group Fm-3m (No. 225)
Asymmetric unit:
Rb: 0.250 0.250 0.250 (multiplicity 8)
Zr: 0.000 0.000 0.000 (multiplicity 4)
Hg: 0.000 0.000 0.500 (multiplicity 4)
Cl: 0.000 0.000 0.215 (multiplicity 24)

Computed properties:
**ρ**: 2.9 g cm⁻³
**DOS(E_F)**: 0.000 states/eV/atom

---

*Q*
DFT (PBE-GGA) results for an optimized crystal structure of Rb2ZrHgCl6.

Unit cell a=8.0179 b=8.0179 c=21.8635 alpha=90.00 beta=90.00 gamma=120.00
Space group R3 (No. 146, hexagonal axes)
Asymmetric unit:
Rb: 0.0000 0.0000 0.0000 (multiplicity 3)
Rb: 0.0000 0.0000 0.4737 (multiplicity 3)
Zr: 0.0000 0.0000 0.6684 (multiplicity 3)
Hg: 0.0000 0.0000 0.1797 (multiplicity 3)
Cl: 0.0184 0.7590 0.6004 (multiplicity 9)
Cl: 0.0820 0.4050 0.3999 (multiplicity 9)

Computed properties:
**ρ**: 2.8 g cm⁻³
**DOS(E_F)**: 0.000 states/eV/atom

---

It turns out *Q* is the most stable, with the second structure 6.4 kJ/mol of atoms higher.

---

*P*
DFT (PBE-GGA) results for an optimized crystal structure of ReHgCl2.

Unit cell a=7.177 b=7.177 c=7.177 alpha=90.00 beta=90.00 gamma=90.00
Space group Fm-3m (No. 225)
Asymmetric unit:
Re: 0.000 0.000 0.000 (multiplicity 4)
Hg: 0.000 0.000 0.500 (multiplicity 4)
Cl: 0.250 0.250 0.250 (multiplicity 8)

Computed properties:
**ρ**: 8.2 g cm⁻³
**DOS(E_F)**: 0.421 states/eV/atom

---

*Q*
DFT (PBE-GGA) results for an optimized crystal structure of ReHgCl2.

Unit cell a=8.232 b=8.232 c=5.628 alpha=90.00 beta=90.00 gamma=90.00
Space group I-42d (No. 122)
Asymmetric unit:
Re: 0.000 0.000 0.000 (multiplicity 4)
Hg: 0.000 0.000 0.500 (multiplicity 4)
Cl: 0.112 0.750 0.125 (multiplicity 8)

Computed properties:
**ρ**: 8.0 g cm⁻³
**DOS(E_F)**: 0.711 states/eV/atom

---

*R*
DFT (PBE-GGA) results for an optimized crystal structure of ReHgCl2.

Unit cell a=3.148 b=5.774 c=9.480 alpha=90.00 beta=90.00 gamma=90.00
Space group Cmm2 (No. 35)
Asymmetric unit:
Re: 0.000 0.000 0.000 (multiplicity 2)
Hg: 0.000 0.500 0.244 (multiplicity 2)
Cl: 0.000 0.000 0.459 (multiplicity 2)
Cl: 0.000 0.500 0.812 (multiplicity 2)

Computed properties:
**ρ**: 8.8 g cm⁻³
**DOS(E_F)**: 0.386 states/eV/atom

---

*S*
DFT (PBE-GGA) results for an optimized crystal structure of ReHgCl2.

Unit cell a=6.111 b=8.440 c=3.282 alpha=90.00 beta=90.00 gamma=90.00
Space group Cmmm (No. 65)
Asymmetric unit:
Re: 0.000 0.000 0.000 (multiplicity 2)
Hg: 0.000 0.500 0.000 (multiplicity 2)
Cl: 0.250 0.250 0.500 (multiplicity 4)

Computed properties:
**ρ**: 9.0 g cm⁻³
**DOS(E_F)**: 0.665 states/eV/atom

---

It turns out *Q* is the most stable, with the second structure 5.9 kJ/mol of atoms higher.

---

*P*
DFT (PBE-GGA) results for an optimized crystal structure of ReHg2Cl.

Unit cell a=4.119 b=4.119 c=9.704 alpha=90.00 beta=90.00 gamma=90.00
Space group I4/mmm (No. 139)
Asymmetric unit:
Re: 0.000 0.000 0.000 (multiplicity 2)
Hg: 0.000 0.500 0.250 (multiplicity 4)
Cl: 0.000 0.000 0.500 (multiplicity 2)

Computed properties:
**ρ**: 12.6 g cm⁻³
**DOS(E_F)**: 0.935 states/eV/atom

---

*Q*
DFT (PBE-GGA) results for an optimized crystal structure of ReHg2Cl.

Unit cell a=2.914 b=5.423 c=11.127 alpha=90.00 beta=90.00 gamma=90.00
Space group Cmm2 (No. 35)
Asymmetric unit:
Re: 0.000 0.000 0.000 (multiplicity 2)
Hg: 0.000 0.000 0.496 (multiplicity 2)
Hg: 0.000 0.500 0.224 (multiplicity 2)
Cl: 0.000 0.500 0.833 (multiplicity 2)

Computed properties:
**ρ**: 11.8 g cm⁻³
**DOS(E_F)**: 0.751 states/eV/atom

---

*R*
DFT (PBE-GGA) results for an optimized crystal structure of ReHg2Cl.

Unit cell a=2.906 b=4.912 c=13.546 alpha=90.00 beta=90.00 gamma=90.00
Space group Imm2 (No. 44)
Asymmetric unit:
Re: 0.000 0.000 0.000 (multiplicity 2)
Hg: 0.000 0.000 0.476 (multiplicity 2)
Hg: 0.000 0.500 0.316 (multiplicity 2)
Cl: 0.000 0.500 0.640 (multiplicity 2)

Computed properties:
**ρ**: 10.7 g cm⁻³
**DOS(E_F)**: 0.253 states/eV/atom

---

*S*
DFT (PBE-GGA) results for an optimized crystal structure of ReHg2Cl.

Unit cell a=6.882 b=6.882 c=6.882 alpha=90.00 beta=90.00 gamma=90.00
Space group F-43m (No. 216)
Asymmetric unit:
Re: 0.000 0.000 0.000 (multiplicity 4)
Hg: 0.000 0.000 0.500 (multiplicity 4)
Hg: 0.250 0.250 0.250 (multiplicity 4)
Cl: 0.250 0.250 0.750 (multiplicity 4)

Computed properties:
**ρ**: 12.7 g cm⁻³
**DOS(E_F)**: 0.866 states/eV/atom

---

It turns out *R* is the most stable, with the second structure 1.3 kJ/mol of atoms higher.

---

*P*
DFT (PBE-GGA) results for an optimized crystal structure of ReHg2Cl.

Unit cell a=7.060 b=7.060 c=7.060 alpha=90.00 beta=90.00 gamma=90.00
Space group Fm-3m (No. 225)
Asymmetric unit:
Re: 0.000 0.000 0.000 (multiplicity 4)
Hg: 0.250 0.250 0.250 (multiplicity 8)
Cl: 0.000 0.000 0.500 (multiplicity 4)

Computed properties:
**ρ**: 11.8 g cm⁻³
**DOS(E_F)**: 0.831 states/eV/atom

---

*Q*
DFT (PBE-GGA) results for an optimized crystal structure of ReHg2Cl.

Unit cell a=2.790 b=4.311 c=14.422 alpha=90.00 beta=90.00 gamma=90.00
Space group Immm (No. 71)
Asymmetric unit:
Re: 0.000 0.000 0.000 (multiplicity 2)
Hg: 0.000 0.500 0.319 (multiplicity 4)
Cl: 0.000 0.000 0.500 (multiplicity 2)

Computed properties:
**ρ**: 11.9 g cm⁻³
**DOS(E_F)**: 0.901 states/eV/atom

---

*R*
DFT (PBE-GGA) results for an optimized crystal structure of ReHg2Cl.

Unit cell a=2.946 b=5.806 c=4.803 alpha=90.00 beta=91.63 gamma=90.00
Space group P2/m (No. 10)
Asymmetric unit:
Re: 0.000 0.000 0.000 (multiplicity 1)
Hg: 0.257 0.500 0.248 (multiplicity 2)
Cl: 0.000 0.000 0.500 (multiplicity 1)

Computed properties:
**ρ**: 12.6 g cm⁻³
**DOS(E_F)**: 0.825 states/eV/atom

---

It turns out *Q* is the most stable, with the second structure 13.7 kJ/mol of atoms higher.

---

*P*
DFT (PBE-GGA) results for an optimized crystal structure of ReHg2Cl.

Unit cell a=2.960 b=2.960 c=10.042 alpha=90.00 beta=90.00 gamma=90.00
Space group P4mm (No. 99)
Asymmetric unit:
Re: 0.000 0.000 0.000 (multiplicity 1)
Hg: 0.000 0.000 0.495 (multiplicity 1)
Hg: 0.500 0.500 0.787 (multiplicity 1)
Cl: 0.500 0.500 0.144 (multiplicity 1)

Computed properties:
**ρ**: 11.8 g cm⁻³
**DOS(E_F)**: 0.630 states/eV/atom

---

*Q*
DFT (PBE-GGA) results for an optimized crystal structure of ReHg2Cl.

Unit cell a=4.218 b=4.218 c=9.506 alpha=90.00 beta=90.00 gamma=90.00
Space group I-4m2 (No. 119)
Asymmetric unit:
Re: 0.000 0.000 0.000 (multiplicity 2)
Hg: 0.000 0.000 0.500 (multiplicity 2)
Hg: 0.000 0.500 0.250 (multiplicity 2)
Cl: 0.000 0.500 0.750 (multiplicity 2)

Computed properties:
**ρ**: 12.2 g cm⁻³
**DOS(E_F)**: 0.599 states/eV/atom

---

*R*
DFT (PBE-GGA) results for an optimized crystal structure of ReHg2Cl.

Unit cell a=2.962 b=4.726 c=14.131 alpha=90.00 beta=90.00 gamma=90.00
Space group Amm2 (No. 38)
Asymmetric unit:
Re: 0.000 0.000 0.000 (multiplicity 2)
Hg: 0.000 0.000 0.198 (multiplicity 2)
Hg: 0.500 0.000 0.538 (multiplicity 2)
Cl: 0.500 0.000 0.869 (multiplicity 2)

Computed properties:
**ρ**: 10.5 g cm⁻³
**DOS(E_F)**: 0.433 states/eV/atom

---

*S*
DFT (PBE-GGA) results for an optimized crystal structure of ReHg2Cl.

Unit cell a=3.249 b=6.006 c=9.606 alpha=90.00 beta=90.00 gamma=90.00
Space group Immm (No. 71)
Asymmetric unit:
Re: 0.000 0.000 0.000 (multiplicity 2)
Hg: 0.000 0.500 0.260 (multiplicity 4)
Cl: 0.000 0.000 0.500 (multiplicity 2)

Computed properties:
**ρ**: 11.0 g cm⁻³
**DOS(E_F)**: 0.414 states/eV/atom

---

It turns out *R* is the most stable, with the second structure 17.8 kJ/mol of atoms higher.